NpFeOs: relaxed, GGA-PBE.

abc: 5.188 5.188 5.188
angles: 91.51 52.91 115.04
Last column: magnetic moment on the atom in μB.
Element x y z (fractional)
Os 0.500 0.000 0.000  -0.18
Np 0.250 0.106 0.644  2.29
Fe 0.500 0.500 0.000  1.71
Np 0.750 0.894 0.356  2.29
Fe 0.000 0.500 0.500  1.71
Os 0.000 0.500 0.000  -0.18

E_form, meV/atom: 42
Total magnetization, μB/atom: 1.2798

=====

NpFe2Os: relaxed, GGA-PBE.

abc: 3.935 3.887 3.887
angles: 90.00 90.00 90.00
Last column: magnetic moment on the atom in μB.
Element x y z (fractional)
Fe 0.000 0.500 0.000  2.19
Os 0.500 0.500 0.500  0.50
Np 0.500 0.000 0.000  -2.64
Fe 0.000 0.000 0.500  2.19

E_form, meV/atom: 52
Total magnetization, μB/atom: 0.5486

=====

Np2FeOs3: relaxed, GGA-PBE.

abc: 5.453 5.453 7.885
angles: 90.00 90.00 120.00
Last column: magnetic moment on the atom in μB.
Element x y z (fractional)
Fe 0.000 0.000 0.500  1.86
Os 0.831 0.662 0.750  -0.26
Os 0.169 0.338 0.250  -0.26
Np 0.333 0.667 0.926  2.99
Np 0.667 0.333 0.074  2.99
Np 0.333 0.667 0.574  2.99
Os 0.831 0.169 0.750  -0.26
Fe 0.000 0.000 0.000  1.86
Os 0.169 0.831 0.250  -0.26
Np 0.667 0.333 0.426  2.99
Os 0.662 0.831 0.250  -0.26
Os 0.338 0.169 0.750  -0.26

E_form, meV/atom: 42
Total magnetization, μB/atom: 1.2117

=====

NpFe4Os: relaxed, GGA-PBE.

abc: 4.892 4.892 4.892
angles: 60.00 60.00 60.00
Last column: magnetic moment on the atom in μB.
Element x y z (fractional)
Os 0.000 0.000 0.000  0.70
Fe 0.122 0.626 0.626  2.14
Np 0.250 0.250 0.250  -3.05
Fe 0.626 0.122 0.626  2.14
Fe 0.626 0.626 0.122  2.14
Fe 0.626 0.626 0.626  2.14

E_form, meV/atom: 157
Total magnetization, μB/atom: 1.0080

=====

NpFeP2Os: relaxed, GGA-PBE.

abc: 3.915 3.915 5.638
angles: 110.32 110.32 90.00
Last column: magnetic moment on the atom in μB.
Element x y z (fractional)
Os 0.250 0.750 0.500  -0.04
P 0.626 0.626 0.252  0.00
P 0.374 0.374 0.748  0.00
Np 0.000 0.000 0.000  3.60
Fe 0.750 0.250 0.500  -0.08

E_form, meV/atom: -567
Total magnetization, μB/atom: 0.7500

=====

PuNpFeOs: relaxed, GGA-PBE.

abc: 4.744 4.744 4.744
angles: 60.00 60.00 60.00
Last column: magnetic moment on the atom in μB.
Element x y z (fractional)
Fe 0.750 0.750 0.750  -2.13
Np 0.000 0.000 0.000  3.63
Os 0.250 0.250 0.250  -0.61
Pu 0.500 0.500 0.500  5.02

E_form, meV/atom: 109
Total magnetization, μB/atom: 1.6044

=====

NpFeSi2Os: relaxed, GGA-PBE.

abc: 4.035 4.035 5.643
angles: 110.95 110.95 90.00
Last column: magnetic moment on the atom in μB.
Element x y z (fractional)
Os 0.250 0.750 0.500  -0.13
Si 0.625 0.625 0.249  0.00
Np 0.000 0.000 0.000  3.50
Fe 0.750 0.250 0.500  -0.98
Si 0.375 0.375 0.751  0.00

Total magnetization, μB/atom: 0.5302
Uncorrected formation energy, eV/atom: -0.41

=====

NpFeP: relaxed, GGA-PBE.

abc: 3.613 3.621 8.186
angles: 77.22 90.00 119.92
Element x y z (fractional)
Fe 0.130 0.260 0.108
Np 0.361 0.722 0.416
Np 0.639 0.278 0.584
P 0.775 0.551 0.174
Fe 0.870 0.740 0.892
P 0.225 0.449 0.826

E_form, meV/atom: -570
Total magnetization, μB/atom: 0.0000

=====

NpFe2P2: relaxed, GGA-PBE.

abc: 4.066 4.066 5.002
angles: 108.82 108.82 99.72
Last column: magnetic moment on the atom in μB.
Element x y z (fractional)
P 0.223 0.777 0.000  0.00
Fe 0.403 0.403 0.216  -0.30
Fe 0.597 0.597 0.784  -0.30
Np 0.000 0.000 0.500  3.28
P 0.777 0.223 0.000  0.00

E_form, meV/atom: -474
Total magnetization, μB/atom: 0.5740

=====

NpFeP2: relaxed, GGA-PBE.

abc: 3.667 3.667 18.971
angles: 90.00 90.00 90.00
Last column: magnetic moment on the atom in μB.
Element x y z (fractional)
Np 0.250 0.749 0.617  3.44
Np 0.250 0.751 0.117  3.44
P 0.250 0.249 0.500  -0.04
P 0.250 0.749 0.816  -0.02
Np 0.750 0.249 0.883  3.44
Fe 0.750 0.749 0.750  -0.32
Np 0.750 0.251 0.383  3.44
P 0.750 0.249 0.684  -0.02
Fe 0.250 0.249 0.750  -0.32
P 0.750 0.251 0.184  -0.02
P 0.250 0.751 0.316  -0.02
P 0.250 0.251 0.000  -0.04
P 0.750 0.749 0.000  -0.04
Fe 0.250 0.251 0.250  -0.32
Fe 0.750 0.751 0.250  -0.32
P 0.750 0.751 0.500  -0.04

E_form, meV/atom: -691
Total magnetization, μB/atom: 0.8231
E above lowest polymorph, kJ per mole of atoms: 0.0

=====

NpFeP3: relaxed, GGA-PBE.

abc: 5.201 5.146 11.453
angles: 90.00 90.00 90.00
Last column: magnetic moment on the atom in μB.
Element x y z (fractional)
P 0.750 0.508 0.206  -0.04
Np 0.250 0.504 0.307  3.39
P 0.250 0.612 0.066  0.00
P 0.500 0.250 0.499  -0.05
P 0.250 0.492 0.794  -0.04
Np 0.750 0.496 0.693  3.39
Np 0.750 0.996 0.307  3.39
Fe 0.500 0.750 0.918  -0.07
P 0.250 0.992 0.206  -0.04
Fe 0.000 0.250 0.082  -0.07
P 0.750 0.388 0.934  0.00
P 0.750 0.888 0.066  0.00
P 0.000 0.250 0.499  -0.05
Np 0.250 0.004 0.693  3.39
P 0.500 0.750 0.501  -0.05
Fe 0.500 0.250 0.082  -0.07
Fe 0.000 0.750 0.918  -0.07
P 0.000 0.750 0.501  -0.05
P 0.250 0.112 0.934  0.00
P 0.750 0.008 0.794  -0.04

E_form, meV/atom: -596
Total magnetization, μB/atom: 0.6971

=====

Np4FeP8: relaxed, GGA-PBE.

abc: 3.901 3.836 15.007
angles: 90.00 90.00 90.00
Last column: magnetic moment on the atom in μB.
Element x y z (fractional)
Fe 0.000 0.000 0.312  -0.24
Np 0.000 0.000 0.104  3.48
P 0.500 0.500 0.749  -0.06
P 0.000 0.500 0.245  -0.02
P 0.000 0.500 0.952  -0.04
P 0.000 0.000 0.460  -0.04
Np 0.500 0.000 0.891  3.46
Np 0.000 0.500 0.608  3.44
P 0.500 0.000 0.244  -0.03
P 0.000 0.000 0.750  -0.05
P 0.500 0.000 0.548  -0.05
P 0.500 0.500 0.041  -0.04
Np 0.500 0.500 0.399  3.48

E_form, meV/atom: -620
Total magnetization, μB/atom: 1.0953